Entry 1:
# PBE BaSc2Sn2, optimized geometry
# Energy of formation, eV per atom: -0.5802
# DOS(E_F), states/eV/f.u.: 0.6
# Relative energy among the computed polymorphs, eV/atom: 0.000
data_BaSc2Sn2
_chemical_formula_sum 'Ba2 Sc4 Sn4'
_cell_length_a 4.885
_cell_length_b 4.885
_cell_length_c 13.052
_cell_angle_alpha 90.00
_cell_angle_beta 90.00
_cell_angle_gamma 90.00
_symmetry_space_group_name_H-M 'I 4/m m m'
_symmetry_Int_Tables_number 139
_symmetry_space_group_name_Hall '-I 4 2'
loop_
_atom_site_label
_atom_site_type_symbol
_atom_site_fract_x
_atom_site_fract_y
_atom_site_fract_z
Ba1 Ba 0.000 0.000 0.000
Sc1 Sc 0.000 0.500 0.250
Sn1 Sn 0.000 0.000 0.378


Entry 2:
# PBE Ba3ScSn8, optimized geometry
# Energy of formation, eV per atom: -0.2022
# DOS(E_F), states/eV/f.u.: 8.8
data_Ba3ScSn8
_chemical_formula_sum 'Ba6 Sc2 Sn16'
_cell_length_a 8.984
_cell_length_b 8.984
_cell_length_c 11.286
_cell_angle_alpha 90.00
_cell_angle_beta 90.00
_cell_angle_gamma 90.00
_symmetry_space_group_name_H-M 'I -4 2 m'
_symmetry_Int_Tables_number 121
_symmetry_space_group_name_Hall 'I -4 2'
loop_
_atom_site_label
_atom_site_type_symbol
_atom_site_fract_x
_atom_site_fract_y
_atom_site_fract_z
Ba1 Ba 0.000 0.000 0.000
Ba2 Ba 0.000 0.500 0.250
Sc1 Sc 0.000 0.000 0.500
Sn1 Sn 0.125 0.125 0.284
Sn2 Sn 0.225 0.225 0.586


Entry 3:
# PBE BaSc2Sn2, optimized geometry
# Energy of formation, eV per atom: -0.4439
# DOS(E_F), states/eV/f.u.: 4.6
# Relative energy among the computed polymorphs, eV/atom: 0.136
data_BaSc2Sn2
_chemical_formula_sum 'Ba2 Sc4 Sn4'
_cell_length_a 9.065
_cell_length_b 9.065
_cell_length_c 3.425
_cell_angle_alpha 90.00
_cell_angle_beta 90.00
_cell_angle_gamma 90.00
_symmetry_space_group_name_H-M 'P 4/m b m'
_symmetry_Int_Tables_number 127
_symmetry_space_group_name_Hall '-P 4 2ab'
loop_
_atom_site_label
_atom_site_type_symbol
_atom_site_fract_x
_atom_site_fract_y
_atom_site_fract_z
Ba1 Ba 0.000 0.000 0.000
Sc1 Sc 0.136 0.364 0.500
Sn1 Sn 0.156 0.656 0.000


Entry 4:
# PBE Ba2ScSnTe5, optimized geometry
# DOS(E_F), states/eV/f.u.: 3.3
# Formation energy without anion corrections, eV per atom: -1.155
data_Ba2ScSnTe5
_chemical_formula_sum 'Ba8 Sc4 Sn4 Te20'
_cell_length_a 4.617
_cell_length_b 19.923
_cell_length_c 14.300
_cell_angle_alpha 90.00
_cell_angle_beta 90.00
_cell_angle_gamma 90.00
_symmetry_space_group_name_H-M 'C m c 21'
_symmetry_Int_Tables_number 36
_symmetry_space_group_name_Hall 'C 2c -2'
loop_
_atom_site_label
_atom_site_type_symbol
_atom_site_fract_x
_atom_site_fract_y
_atom_site_fract_z
Ba1 Ba 0.000 0.116 0.000
Ba2 Ba 0.000 0.138 0.631
Sc1 Sc 0.000 0.210 0.340
Sn1 Sn 0.000 0.454 0.761
Te1 Te 0.000 0.056 0.387
Te2 Te 0.000 0.288 0.971
Te3 Te 0.000 0.314 0.696
Te4 Te 0.000 0.353 0.318
Te5 Te 0.000 0.490 0.075


Entry 5:
# PBE Ba2ScTlSn, optimized geometry
# Energy of formation, eV per atom: 0.1608
# DOS(E_F), states/eV/f.u.: 7.9
data_Ba2ScTlSn
_chemical_formula_sum 'Ba2 Sc1 Tl1 Sn1'
_cell_length_a 6.530
_cell_length_b 6.530
_cell_length_c 5.448
_cell_angle_alpha 90.00
_cell_angle_beta 90.00
_cell_angle_gamma 90.00
_symmetry_space_group_name_H-M 'P 4/m m m'
_symmetry_Int_Tables_number 123
_symmetry_space_group_name_Hall '-P 4 2'
loop_
_atom_site_label
_atom_site_type_symbol
_atom_site_fract_x
_atom_site_fract_y
_atom_site_fract_z
Ba1 Ba 0.000 0.500 0.000
Sc1 Sc 0.000 0.000 0.500
Tl1 Tl 0.000 0.000 0.000
Sn1 Sn 0.500 0.500 0.500


Entry 6:
# PBE BaSrSc2, optimized geometry
# Energy of formation, eV per atom: 0.5473
# DOS(E_F), states/eV/f.u.: 5.3
# Relative energy among the computed polymorphs, eV/atom: 0.330
data_BaSrSc2
_chemical_formula_sum 'Ba3 Sr3 Sc6'
_cell_length_a 3.5700
_cell_length_b 3.5700
_cell_length_c 38.7755
_cell_angle_alpha 90.00
_cell_angle_beta 90.00
_cell_angle_gamma 120.00
_symmetry_space_group_name_H-M 'R -3 m'
_symmetry_Int_Tables_number 166
_symmetry_space_group_name_Hall '-R 3 2"'
loop_
_atom_site_label
_atom_site_type_symbol
_atom_site_fract_x
_atom_site_fract_y
_atom_site_fract_z
Ba1 Ba 0.0000 0.0000 0.0000
Sr1 Sr 0.0000 0.0000 0.5000
Sc1 Sc 0.0000 0.0000 0.0876


Entry 7:
# PBE Ba2SrSc, optimized geometry
# Energy of formation, eV per atom: 0.3166
# DOS(E_F), states/eV/f.u.: 4.9
# Relative energy among the computed polymorphs, eV/atom: 0.093
data_Ba2SrSc
_chemical_formula_sum 'Ba4 Sr2 Sc2'
_cell_length_a 7.846
_cell_length_b 12.728
_cell_length_c 3.930
_cell_angle_alpha 90.00
_cell_angle_beta 108.26
_cell_angle_gamma 90.00
_symmetry_space_group_name_H-M 'C 1 2/m 1'
_symmetry_Int_Tables_number 12
_symmetry_space_group_name_Hall '-C 2y'
loop_
_atom_site_label
_atom_site_type_symbol
_atom_site_fract_x
_atom_site_fract_y
_atom_site_fract_z
Ba1 Ba 0.250 0.250 0.000
Sr1 Sr 0.000 0.000 0.500
Sc1 Sc 0.000 0.500 0.500


Entry 8:
# PBE Ba2SrSc, optimized geometry
# Energy of formation, eV per atom: 0.2987
# DOS(E_F), states/eV/f.u.: 5.3
# Relative energy among the computed polymorphs, eV/atom: 0.075
data_Ba2SrSc
_chemical_formula_sum 'Ba2 Sr1 Sc1'
_cell_length_a 3.940
_cell_length_b 6.322
_cell_length_c 7.641
_cell_angle_alpha 90.00
_cell_angle_beta 100.79
_cell_angle_gamma 90.00
_symmetry_space_group_name_H-M 'P 1 m 1'
_symmetry_Int_Tables_number 6
_symmetry_space_group_name_Hall 'P -2y'
loop_
_atom_site_label
_atom_site_type_symbol
_atom_site_fract_x
_atom_site_fract_y
_atom_site_fract_z
Ba1 Ba 0.000 0.000 0.000
Ba2 Ba 0.237 0.500 0.723
Sr1 Sr 0.519 0.000 0.463
Sc1 Sc 0.736 0.500 0.230


Entry 9:
# PBE Ba2SrSc, optimized geometry
# Energy of formation, eV per atom: 0.2236
# DOS(E_F), states/eV/f.u.: 6.0
# Relative energy among the computed polymorphs, eV/atom: 0.000
data_Ba2SrSc
_chemical_formula_sum 'Ba2 Sr1 Sc1'
_cell_length_a 4.308
_cell_length_b 4.308
_cell_length_c 10.406
_cell_angle_alpha 90.00
_cell_angle_beta 90.00
_cell_angle_gamma 90.00
_symmetry_space_group_name_H-M 'P 4 m m'
_symmetry_Int_Tables_number 99
_symmetry_space_group_name_Hall 'P 4 -2'
loop_
_atom_site_label
_atom_site_type_symbol
_atom_site_fract_x
_atom_site_fract_y
_atom_site_fract_z
Ba1 Ba 0.000 0.000 0.000
Ba2 Ba 0.500 0.500 0.309
Sr1 Sr 0.500 0.500 0.710
Sc1 Sc 0.000 0.000 0.519


Entry 10:
# PBE Ba2SrSc, optimized geometry
# Energy of formation, eV per atom: 0.2985
# DOS(E_F), states/eV/f.u.: 8.2
# Relative energy among the computed polymorphs, eV/atom: 0.075
data_Ba2SrSc
_chemical_formula_sum 'Ba8 Sr4 Sc4'
_cell_length_a 9.121
_cell_length_b 9.121
_cell_length_c 9.121
_cell_angle_alpha 90.00
_cell_angle_beta 90.00
_cell_angle_gamma 90.00
_symmetry_space_group_name_H-M 'F m -3 m'
_symmetry_Int_Tables_number 225
_symmetry_space_group_name_Hall '-F 4 2 3'
loop_
_atom_site_label
_atom_site_type_symbol
_atom_site_fract_x
_atom_site_fract_y
_atom_site_fract_z
Ba1 Ba 0.250 0.250 0.250
Sr1 Sr 0.000 0.000 0.000
Sc1 Sc 0.000 0.000 0.500


Entry 11:
# PBE BaSrSc2, optimized geometry
# Energy of formation, eV per atom: 0.4439
# DOS(E_F), states/eV/f.u.: 7.8
# Relative energy among the computed polymorphs, eV/atom: 0.226
data_BaSrSc2
_chemical_formula_sum 'Ba3 Sr3 Sc6'
_cell_length_a 3.6859
_cell_length_b 3.6859
_cell_length_c 36.3540
_cell_angle_alpha 90.00
_cell_angle_beta 90.00
_cell_angle_gamma 120.00
_symmetry_space_group_name_H-M 'R -3 m'
_symmetry_Int_Tables_number 166
_symmetry_space_group_name_Hall '-R 3 2"'
loop_
_atom_site_label
_atom_site_type_symbol
_atom_site_fract_x
_atom_site_fract_y
_atom_site_fract_z
Ba1 Ba 0.0000 0.0000 0.0000
Sr1 Sr 0.0000 0.0000 0.5000
Sc1 Sc 0.0000 0.0000 0.2497


Entry 12:
# PBE Ba2SrSc, optimized geometry
# Energy of formation, eV per atom: 0.3083
# DOS(E_F), states/eV/f.u.: 4.7
# Relative energy among the computed polymorphs, eV/atom: 0.085
data_Ba2SrSc
_chemical_formula_sum 'Ba2 Sr1 Sc1'
_cell_length_a 4.671
_cell_length_b 6.321
_cell_length_c 6.329
_cell_angle_alpha 90.00
_cell_angle_beta 90.00
_cell_angle_gamma 90.00
_symmetry_space_group_name_H-M 'P m m m'
_symmetry_Int_Tables_number 47
_symmetry_space_group_name_Hall '-P 2 2'
loop_
_atom_site_label
_atom_site_type_symbol
_atom_site_fract_x
_atom_site_fract_y
_atom_site_fract_z
Ba1 Ba 0.000 0.000 0.000
Ba2 Ba 0.500 0.500 0.000
Sr1 Sr 0.000 0.500 0.500
Sc1 Sc 0.500 0.000 0.500


Entry 13:
# PBE BaSrSc, optimized geometry
# Energy of formation, eV per atom: 0.3557
# DOS(E_F), states/eV/f.u.: 3.8
# Relative energy among the computed polymorphs, eV/atom: 0.061
data_BaSrSc
_chemical_formula_sum 'Ba1 Sr1 Sc1'
_cell_length_a 6.2244
_cell_length_b 6.2244
_cell_length_c 3.7757
_cell_angle_alpha 90.00
_cell_angle_beta 90.00
_cell_angle_gamma 120.00
_symmetry_space_group_name_H-M 'P 3 m 1'
_symmetry_Int_Tables_number 156
_symmetry_space_group_name_Hall 'P 3 -2"'
loop_
_atom_site_label
_atom_site_type_symbol
_atom_site_fract_x
_atom_site_fract_y
_atom_site_fract_z
Ba1 Ba 0.0000 0.0000 0.0000
Sr1 Sr 0.3333 0.6667 0.6584
Sc1 Sc 0.6667 0.3333 0.3187


Entry 14:
# PBE Ba2SrSc, optimized geometry
# Energy of formation, eV per atom: 0.2687
# DOS(E_F), states/eV/f.u.: 6.1
# Relative energy among the computed polymorphs, eV/atom: 0.045
data_Ba2SrSc
_chemical_formula_sum 'Ba4 Sr2 Sc2'
_cell_length_a 14.764
_cell_length_b 4.370
_cell_length_c 6.609
_cell_angle_alpha 90.00
_cell_angle_beta 116.50
_cell_angle_gamma 90.00
_symmetry_space_group_name_H-M 'C 1 m 1'
_symmetry_Int_Tables_number 8
_symmetry_space_group_name_Hall 'C -2y'
loop_
_atom_site_label
_atom_site_type_symbol
_atom_site_fract_x
_atom_site_fract_y
_atom_site_fract_z
Ba1 Ba 0.000 0.000 0.000
Ba2 Ba 0.219 0.000 0.719
Sr1 Sr 0.275 0.500 0.274
Sc1 Sc 0.494 0.000 0.494


Entry 15:
# PBE BaSrSc, optimized geometry
# Energy of formation, eV per atom: 0.6831
# DOS(E_F), states/eV/f.u.: 5.9
# Relative energy among the computed polymorphs, eV/atom: 0.388
data_BaSrSc
_chemical_formula_sum 'Ba4 Sr4 Sc4'
_cell_length_a 8.628
_cell_length_b 8.628
_cell_length_c 8.628
_cell_angle_alpha 90.00
_cell_angle_beta 90.00
_cell_angle_gamma 90.00
_symmetry_space_group_name_H-M 'F -4 3 m'
_symmetry_Int_Tables_number 216
_symmetry_space_group_name_Hall 'F -4 2 3'
loop_
_atom_site_label
_atom_site_type_symbol
_atom_site_fract_x
_atom_site_fract_y
_atom_site_fract_z
Ba1 Ba 0.000 0.000 0.000
Sr1 Sr 0.000 0.000 0.500
Sc1 Sc 0.250 0.250 0.250


Entry 16:
# PBE BaSrSc2, optimized geometry
# Energy of formation, eV per atom: 0.6709
# DOS(E_F), states/eV/f.u.: 6.8
# Relative energy among the computed polymorphs, eV/atom: 0.453
data_BaSrSc2
_chemical_formula_sum 'Ba4 Sr4 Sc8'
_cell_length_a 9.271
_cell_length_b 9.271
_cell_length_c 6.831
_cell_angle_alpha 90.00
_cell_angle_beta 90.00
_cell_angle_gamma 90.00
_symmetry_space_group_name_H-M 'I -4 2 d'
_symmetry_Int_Tables_number 122
_symmetry_space_group_name_Hall 'I -4 2bw'
loop_
_atom_site_label
_atom_site_type_symbol
_atom_site_fract_x
_atom_site_fract_y
_atom_site_fract_z
Ba1 Ba 0.000 0.000 0.000
Sr1 Sr 0.000 0.000 0.500
Sc1 Sc 0.243 0.250 0.125


Entry 17:
# PBE BaSrSc2, optimized geometry
# Energy of formation, eV per atom: 0.4450
# DOS(E_F), states/eV/f.u.: 7.6
# Relative energy among the computed polymorphs, eV/atom: 0.227
data_BaSrSc2
_chemical_formula_sum 'Ba2 Sr2 Sc4'
_cell_length_a 5.314
_cell_length_b 5.314
_cell_length_c 10.639
_cell_angle_alpha 90.00
_cell_angle_beta 90.00
_cell_angle_gamma 90.00
_symmetry_space_group_name_H-M 'I 4/m m m'
_symmetry_Int_Tables_number 139
_symmetry_space_group_name_Hall '-I 4 2'
loop_
_atom_site_label
_atom_site_type_symbol
_atom_site_fract_x
_atom_site_fract_y
_atom_site_fract_z
Ba1 Ba 0.000 0.000 0.000
Sr1 Sr 0.000 0.000 0.500
Sc1 Sc 0.000 0.500 0.250


Entry 18:
# PBE BaSrSc2, optimized geometry
# Energy of formation, eV per atom: 0.2176
# DOS(E_F), states/eV/f.u.: 6.4
# Relative energy among the computed polymorphs, eV/atom: 0.000
data_BaSrSc2
_chemical_formula_sum 'Ba1 Sr1 Sc2'
_cell_length_a 3.976
_cell_length_b 3.976
_cell_length_c 9.709
_cell_angle_alpha 90.00
_cell_angle_beta 90.00
_cell_angle_gamma 90.00
_symmetry_space_group_name_H-M 'P 4 m m'
_symmetry_Int_Tables_number 99
_symmetry_space_group_name_Hall 'P 4 -2'
loop_
_atom_site_label
_atom_site_type_symbol
_atom_site_fract_x
_atom_site_fract_y
_atom_site_fract_z
Ba1 Ba 0.000 0.000 0.000
Sr1 Sr 0.500 0.500 0.652
Sc1 Sc 0.000 0.000 0.407
Sc2 Sc 0.500 0.500 0.257


Entry 19:
# PBE Ba2SrSc, optimized geometry
# Energy of formation, eV per atom: 0.3066
# DOS(E_F), states/eV/f.u.: 6.8
# Relative energy among the computed polymorphs, eV/atom: 0.083
data_Ba2SrSc
_chemical_formula_sum 'Ba4 Sr2 Sc2'
_cell_length_a 9.071
_cell_length_b 9.090
_cell_length_c 4.620
_cell_angle_alpha 90.00
_cell_angle_beta 90.00
_cell_angle_gamma 90.00
_symmetry_space_group_name_H-M 'C m m m'
_symmetry_Int_Tables_number 65
_symmetry_space_group_name_Hall '-C 2 2'
loop_
_atom_site_label
_atom_site_type_symbol
_atom_site_fract_x
_atom_site_fract_y
_atom_site_fract_z
Ba1 Ba 0.250 0.250 0.000
Sr1 Sr 0.000 0.000 0.500
Sc1 Sc 0.000 0.500 0.500


Entry 20:
# PBE BaSrSc2, optimized geometry
# Energy of formation, eV per atom: 0.4573
# DOS(E_F), states/eV/f.u.: 7.4
# Relative energy among the computed polymorphs, eV/atom: 0.240
data_BaSrSc2
_chemical_formula_sum 'Ba2 Sr2 Sc4'
_cell_length_a 4.173
_cell_length_b 5.842
_cell_length_c 11.931
_cell_angle_alpha 90.00
_cell_angle_beta 90.00
_cell_angle_gamma 90.00
_symmetry_space_group_name_H-M 'C m m m'
_symmetry_Int_Tables_number 65
_symmetry_space_group_name_Hall '-C 2 2'
loop_
_atom_site_label
_atom_site_type_symbol
_atom_site_fract_x
_atom_site_fract_y
_atom_site_fract_z
Ba1 Ba 0.000 0.000 0.000
Sr1 Sr 0.000 0.000 0.500
Sc1 Sc 0.000 0.500 0.255


Number 1: M_tot 0.00 μB/atom. Number 2: M_tot 0.00 μB/atom. Number 3: M_tot 0.00 μB/atom. Number 4: M_tot 0.00 μB/atom. Number 5: M_tot 0.00 μB/atom. Number 6: M_tot 0.41 μB/atom. Number 7: M_tot 0.00 μB/atom. Number 8: M_tot 0.00 μB/atom. Number 9: M_tot 0.00 μB/atom. Number 10: M_tot 0.00 μB/atom. Number 11: M_tot 0.00 μB/atom. Number 12: M_tot 0.00 μB/atom. Number 13: M_tot 0.00 μB/atom. Number 14: M_tot 0.00 μB/atom. Number 15: M_tot 0.48 μB/atom. Number 16: M_tot 0.21 μB/atom. Number 17: M_tot 0.57 μB/atom. Number 18: M_tot 0.00 μB/atom. Number 19: M_tot 0.00 μB/atom. Number 20: M_tot 0.13 μB/atom.